No. 1
AlCrSe2 | PBE-GGA | optimized geometry

a b c (Å): 5.1233 5.1233 4.1843
angles (deg): 108.81 108.81 89.03
Positions (direct):
1 Al 0.0000 0.0000 0.0000
2 Cr 0.5000 0.5000 0.0000
3 Se 0.0000 0.5000 0.0000
4 Se 0.5000 0.0000 0.0000

Calculated values
relative energy among the computed polymorphs	1.14	eV/f.u.
E	-20.7	eV per formula unit
crystal system	monoclinic


No. 2
TaCo2Ni2 | PBE-GGA | optimized geometry

a b c (Å): 4.4349 4.4349 5.7316
angles (deg): 129.25 129.25 48.22
Positions (direct):
1 Ta 0.0000 0.0000 0.0000
2 Co 0.4045 0.4045 0.2162
3 Co 0.5955 0.5955 0.7838
4 Ni 0.1946 0.1946 0.5985
5 Ni 0.8054 0.8054 0.4015

Calculated values
relative energy among the computed polymorphs	0.00	eV/f.u.
E	-38.3	eV per formula unit
formation energy	-13.5	kJ/mol of atoms
crystal system	monoclinic


No. 3
Tb8Ho3Er4 | PBE-GGA | optimized geometry

a b c (Å): 9.1876 9.1876 6.7125
angles (deg): 111.38 111.38 87.43
Positions (direct):
1 Tb 0.1434 0.8566 0.0000
2 Tb 0.2317 0.2317 0.4654
3 Tb 0.2343 0.2343 0.9915
4 Tb 0.2487 0.7513 0.5000
5 Tb 0.7513 0.2487 0.5000
6 Tb 0.7657 0.7657 0.0085
7 Tb 0.7683 0.7683 0.5346
8 Tb 0.8566 0.1434 0.0000
9 Ho 0.0000 0.0000 0.5000
10 Ho 0.0000 0.5000 0.5000
11 Ho 0.5000 0.0000 0.5000
12 Er 0.0000 0.5000 0.0000
13 Er 0.5000 0.0000 0.0000
14 Er 0.5000 0.5000 0.0000
15 Er 0.5000 0.5000 0.5000

Calculated values
relative energy among the computed polymorphs	3.76	eV/f.u.
E	-63.0	eV per formula unit
formation energy	39.1	kJ/mol of atoms
crystal system	monoclinic


No. 4
Li3Ag2Au6 | PBE-GGA | optimized geometry

a b c (Å): 5.5946 5.6718 6.7510
angles (deg): 74.93 75.12 76.90
Positions (direct):
1 Li 0.0000 0.0000 0.0000
2 Li 0.4222 0.7621 0.5497
3 Li 0.5778 0.2379 0.4503
4 Ag 0.3081 0.5742 0.1610
5 Ag 0.6919 0.4258 0.8390
6 Au 0.0539 0.2200 0.5286
7 Au 0.2034 0.4033 0.8235
8 Au 0.3805 0.0533 0.1900
9 Au 0.6195 0.9467 0.8100
10 Au 0.7966 0.5967 0.1765
11 Au 0.9461 0.7800 0.4714

Calculated values
relative energy among the computed polymorphs	0.00	eV/f.u.
E	-33.8	eV per formula unit
formation energy	-23.4	kJ/mol of atoms
crystal system	triclinic